Here is crystalline HgBr2Cl at its relaxed geometry from Alexandria. Energies are from PBE.

Output
- electronic total energy (eV per formula unit) = -5.661
- formation energy without anion corrections (eV per formula unit) = -0.2
- calculated volume (A^3/atom) = 31.247
- crystal system = orthorhombic

a b c (Å): 3.9218 5.4711 11.6504
angles (deg): 90.00 90.00 90.00
Space group Immm (No. 71)
Inequivalent atoms, fractional coordinates:
Hg 0.0000 0.0000 0.0000
Br 0.0000 0.5000 0.3344
Cl 0.0000 0.0000 0.5000